# CeSmAu2

A relaxed structure of CeSmAu2 (PBE, Alexandria).

Lattice parameters (Å, degrees): 3.6425 3.6425 7.5453 90.00 90.00 90.00
Last column: nearest neighbours and their distance in Å.
Space group P4/mmm (No. 123)
Unique sites:
Ce1 0.0000 0.0000 0.0000  8 Au 3.23
Sm1 0.0000 0.0000 0.5000  8 Au 3.15
Au1 0.5000 0.5000 0.2592  4 Sm 3.15, 4 Ce 3.23

Theoretical density in kg/m³: 11353
ΔH_f (0 K) in eV/atom: -0.6919